No. 1
This record from Alexandria via LeMat-Bulk describes a relaxed structure of Si3MoCl. The functional is PBE-GGA.

abc: 4.491 4.491 4.491
angles: 90.00 90.00 90.00
Sites, in units of the cell vectors:
Si1 0.000 0.000 0.500
Cl1 0.000 0.000 0.000
Mo1 0.500 0.500 0.500
Si2 0.000 0.500 0.000
Si3 0.500 0.000 0.000

Properties
SG: Pm-3m (221)
Raw total energy: -21.7 eV/cell



No. 2
This record from Alexandria via LeMat-Bulk describes a relaxed structure of SiMoCl. The functional is PBE-GGA.

abc: 4.919 4.919 4.919
angles: 146.53 133.85 58.20
Sites, in units of the cell vectors:
Cl1 0.983 0.983 0.000
Si1 0.678 0.678 0.000
Mo1 0.339 0.339 0.000

Properties
SG: Imm2 (44)
Raw total energy: -16.7 eV/cell



No. 3
This record from Alexandria via LeMat-Bulk describes a relaxed structure of SiMoCl. The functional is PBE-GGA.

abc: 3.236 2.958 24.984
angles: 90.00 97.13 90.00
Sites, in units of the cell vectors:
Si1 0.546 0.000 0.548
Si2 0.454 0.000 0.452
Cl1 0.830 0.000 0.322
Mo1 0.902 0.500 0.398
Mo2 0.098 0.000 0.102
Mo3 0.098 0.500 0.602
Si3 0.546 0.500 0.048
Si4 0.454 0.500 0.952
Cl2 0.830 0.500 0.822
Cl3 0.170 0.000 0.678
Mo4 0.902 0.000 0.898
Cl4 0.170 0.500 0.178

Properties
SG: C2/m (12)
Raw total energy: -75.5 eV/cell



No. 4
This record from Alexandria via LeMat-Bulk describes a relaxed structure of Si2MoCl. The functional is PBE-GGA.

abc: 3.437 3.439 5.258
angles: 90.00 90.00 90.00
Sites, in units of the cell vectors:
Si1 0.000 0.000 0.508
Si2 0.000 0.000 0.992
Cl1 0.500 0.500 0.250
Mo1 0.500 0.500 0.750

Properties
SG: P4/mmm (123)
Raw total energy: -22.3 eV/cell